1.
Entry from Alexandria: a relaxed Ce3TcNi crystal (GGA-PBE).

```
10
Lattice="4.911 0.000 0.000 -2.449 5.584 0.000 -0.008 -0.478 8.045" Properties=species:S:1:pos:R:3 pbc="T T T"
Ce -0.003 0.307 2.706
Ce 0.000 2.758 5.392
Ce 0.001 4.048 0.693
Ce 2.453 1.058 7.352
Ce 2.454 2.349 2.652
Ce 2.457 4.799 5.339
Tc 0.000 4.071 3.361
Tc 2.454 1.036 4.684
Ni -0.001 0.757 8.003
Ni 2.455 4.350 0.042
```

Calculated values
Crystal system: triclinic
Magnetization in μB per cell: 0.0
Calculated volume in Å³ per cell: 220.6
E_form in eV/atom: -0.183
N(E_F) in states/eV per atom: 1.5609


2.
Entry from Alexandria: a relaxed CeTcNi crystal (GGA-PBE).

```
12
Lattice="5.007 0.000 0.000 0.000 5.188 0.000 0.000 0.000 7.898" Properties=species:S:1:pos:R:3 pbc="T T T"
Ce 0.000 1.297 0.999
Ce 0.000 3.891 6.900
Ce 2.504 1.297 2.950
Ce 2.504 3.891 4.948
Tc 1.252 1.297 5.924
Tc 1.252 3.891 1.975
Tc 3.755 1.297 5.924
Tc 3.755 3.891 1.975
Ni 0.000 0.000 3.949
Ni 0.000 2.594 3.949
Ni 2.504 0.000 0.000
Ni 2.504 2.594 0.000
```

Calculated values
Crystal system: orthorhombic
Magnetization in μB per cell: 0.0
Calculated volume in Å³ per cell: 205.2
E_form in eV/atom: -0.254
N(E_F) in states/eV per atom: 1.0876


3.
Entry from Alexandria: a relaxed CeThTcNi crystal (GGA-PBE).

```
16
Lattice="6.971 0.000 0.000 0.000 6.971 0.000 0.000 0.000 6.971" Properties=species:S:1:pos:R:3 pbc="T T T"
Ce 0.000 0.000 0.000
Ce 0.000 3.486 3.486
Ce 3.486 0.000 3.486
Ce 3.486 3.486 0.000
Th 0.000 0.000 3.486
Th 0.000 3.486 0.000
Th 3.486 0.000 0.000
Th 3.486 3.486 3.486
Tc 1.743 1.743 5.228
Tc 1.743 5.228 1.743
Tc 5.228 1.743 1.743
Tc 5.228 5.228 5.228
Ni 1.743 1.743 1.743
Ni 1.743 5.228 5.228
Ni 5.228 1.743 5.228
Ni 5.228 5.228 1.743
```

Calculated values
Crystal system: cubic
Magnetization in μB per cell: 0.0
Calculated volume in Å³ per cell: 338.8
E_form in eV/atom: -0.138
N(E_F) in states/eV per atom: 1.1385


4.
Entry from Alexandria: a relaxed CeTiTcNi crystal (GGA-PBE).

```
16
Lattice="6.491 0.000 0.000 0.000 6.491 0.000 0.000 0.000 6.491" Properties=species:S:1:pos:R:3 pbc="T T T"
Ce 0.000 0.000 0.000
Ce 0.000 3.246 3.246
Ce 3.246 0.000 3.246
Ce 3.246 3.246 0.000
Ti 0.000 0.000 3.246
Ti 0.000 3.246 0.000
Ti 3.246 0.000 0.000
Ti 3.246 3.246 3.246
Tc 1.623 1.623 4.868
Tc 1.623 4.868 1.623
Tc 4.868 1.623 1.623
Tc 4.868 4.868 4.868
Ni 1.623 1.623 1.623
Ni 1.623 4.868 4.868
Ni 4.868 1.623 4.868
Ni 4.868 4.868 1.623
```

Calculated values
Crystal system: cubic
Magnetization in μB per cell: 0.0
Calculated volume in Å³ per cell: 273.5
E_form in eV/atom: -0.171
N(E_F) in states/eV per atom: 1.0804


5.
Entry from Alexandria: a relaxed CeZrTcNi crystal (GGA-PBE).

```
16
Lattice="6.685 0.000 0.000 0.000 6.685 0.000 0.000 0.000 6.685" Properties=species:S:1:pos:R:3 pbc="T T T"
Ce 0.000 0.000 0.000
Ce 0.000 3.342 3.342
Ce 3.342 0.000 3.342
Ce 3.342 3.342 0.000
Zr 0.000 0.000 3.342
Zr 0.000 3.342 0.000
Zr 3.342 0.000 0.000
Zr 3.342 3.342 3.342
Tc 1.671 1.671 5.014
Tc 1.671 5.014 1.671
Tc 5.014 1.671 1.671
Tc 5.014 5.014 5.014
Ni 1.671 1.671 1.671
Ni 1.671 5.014 5.014
Ni 5.014 1.671 5.014
Ni 5.014 5.014 1.671
```

Calculated values
Crystal system: cubic
Magnetization in μB per cell: 0.0
Calculated volume in Å³ per cell: 298.7
E_form in eV/atom: -0.199
N(E_F) in states/eV per atom: 1.0417


6.
Entry from Alexandria: a relaxed CeNiTe crystal (GGA-PBE).

```
3
Lattice="4.242 0.000 0.000 -2.121 3.673 0.000 0.000 0.000 4.324" Properties=species:S:1:pos:R:3 pbc="T T T"
Ce 0.000 0.000 0.000
Ni 0.000 2.449 2.775
Te 2.121 1.224 2.136
```

Calculated values
Crystal system: trigonal
Magnetization in μB per cell: 0.5
Formation energy from raw total energies in eV/atom: -0.841
Calculated volume in Å³ per cell: 67.4
N(E_F) in states/eV per atom: 1.7505